1.
# CsBaNb

A relaxed structure of CsBaNb (PBE, the Alexandria database).

Geometry as POSCAR:
```
CsBaNb
1.0
9.886 0.013 -0.023
-2.142 8.316 -0.015
0.683 -0.262 3.650
Cs Nb Ba
2 2 2
direct
0.727 0.566 0.898
0.273 0.434 0.102
0.501 0.113 0.369
0.499 0.887 0.631
0.189 0.910 0.137
0.811 0.090 0.863
```

Results
Raw total energy (eV/atom): -3.514
Total moment (μB/f.u.): 0.0
Excess energy over the best structure of this formula in the dataset (eV/atom): 0.324
Energy of formation from the pure elements (eV/atom): 0.768

***

2.
# CsBaNb3

A relaxed structure of CsBaNb3 (PBE, the Alexandria database).

Geometry as POSCAR:
```
CsBaNb3
1.0
5.376 0.000 0.000
0.000 5.376 0.000
0.000 0.000 5.376
Cs Ba Nb
1 1 3
direct
0.500 0.500 0.500
0.000 0.000 0.000
0.000 0.500 0.000
0.000 0.000 0.500
0.500 0.000 0.000
```

Results
Raw total energy (eV/atom): -3.947
Total moment (μB/f.u.): 1.3
Excess energy over the best structure of this formula in the dataset (eV/atom): 0.286
Energy of formation from the pure elements (eV/atom): 2.650

***

3.
# CsBaNb

A relaxed structure of CsBaNb (PBE, the Alexandria database).

Geometry as POSCAR:
```
CsBaNb
1.0
-1.031 3.677 0.373
-3.527 -1.090 0.991
7.648 -2.996 17.550
Cs Nb Ba
2 2 2
direct
0.600 0.511 0.049
0.392 0.666 0.285
0.266 0.348 0.691
0.724 0.827 0.642
0.114 0.272 0.513
0.875 0.903 0.821
```

Results
Raw total energy (eV/atom): -3.764
Total moment (μB/f.u.): 0.2
Excess energy over the best structure of this formula in the dataset (eV/atom): 0.074
Energy of formation from the pure elements (eV/atom): 0.518